# Ba3Tl2I (PBE, relaxed)
# Raw total energy = -2.714 eV per atom
data_Ba3Tl2I
_chemical_formula_sum 'Ba3 Tl2 I1'
_space_group_name_H-M_alt 'P 4/m m m'
_space_group_IT_number 123
_space_group_name_Hall '-P 4 2'
_cell_length_a 4.2906
_cell_length_b 4.2906
_cell_length_c 13.4236
_cell_angle_alpha 90.00
_cell_angle_beta 90.00
_cell_angle_gamma 90.00
loop_
_atom_site_label
_atom_site_type_symbol
_atom_site_fract_x
_atom_site_fract_y
_atom_site_fract_z
_atom_site_occupancy
Ba1 Ba 0.0000 0.0000 0.0000 1
Ba2 Ba 0.0000 0.0000 0.3103 1
Tl1 Tl 0.5000 0.5000 0.1563 1
I1 I 0.5000 0.5000 0.5000 1

# Sr2MgHg8 (PBE, relaxed)
# Energy of formation from the pure elements = -0.31 eV per atom
data_Sr2MgHg8
_chemical_formula_sum 'Sr4 Mg2 Hg16'
_space_group_name_H-M_alt 'C 1 2/m 1'
_space_group_IT_number 12
_cell_length_a 16.5356
_cell_length_b 5.2726
_cell_length_c 7.2895
_cell_angle_alpha 90.00
_cell_angle_beta 111.28
_cell_angle_gamma 90.00
loop_
_space_group_symop_operation_xyz
'x,y,z'
'-x,-y,-z'
'-x,y,-z'
'x,-y,z'
'x+1/2,y+1/2,z'
'-x+1/2,-y+1/2,-z'
'-x+1/2,y+1/2,-z'
'x+1/2,-y+1/2,z'
loop_
_atom_site_label
_atom_site_type_symbol
_atom_site_fract_x
_atom_site_fract_y
_atom_site_fract_z
_atom_site_occupancy
Sr1 Sr 0.2103 0.0000 0.1800 1
Mg1 Mg 0.0000 0.5000 0.5000 1
Hg1 Hg 0.0067 0.0000 0.2231 1
Hg2 Hg 0.1004 0.5000 0.9190 1
Hg3 Hg 0.1411 0.5000 0.3620 1
Hg4 Hg 0.1553 0.0000 0.6478 1

# ErZn2Co2Ge (PBE, relaxed)
# Energy of formation from the pure elements = -0.04 eV per atom
data_ErZn2Co2Ge
_chemical_formula_sum 'Er1 Zn2 Co2 Ge1'
_space_group_name_H-M_alt 'P 4/m m m'
_space_group_IT_number 123
_space_group_name_Hall '-P 4 2'
_cell_length_a 4.3339
_cell_length_b 4.3339
_cell_length_c 5.5198
_cell_angle_alpha 90.00
_cell_angle_beta 90.00
_cell_angle_gamma 90.00
loop_
_atom_site_label
_atom_site_type_symbol
_atom_site_fract_x
_atom_site_fract_y
_atom_site_fract_z
_atom_site_occupancy
Er1 Er 0.0000 0.0000 0.0000 1
Zn1 Zn 0.5000 0.5000 0.2357 1
Co1 Co 0.0000 0.5000 0.5000 1
Ge1 Ge 0.0000 0.0000 0.5000 1

# HoPaTe2S (PBE, relaxed)
# Raw total energy = -6.161 eV per atom
data_HoPaTe2S
_chemical_formula_sum 'Ho2 Pa2 Te4 S2'
_space_group_name_H-M_alt 'P 4/n m m'
_space_group_IT_number 129
_cell_length_a 4.3035
_cell_length_b 4.3035
_cell_length_c 14.8553
_cell_angle_alpha 90.00
_cell_angle_beta 90.00
_cell_angle_gamma 90.00
loop_
_space_group_symop_operation_xyz
'x,y,z'
'-x,-y,-z'
'-y+1/2,x,z'
'y+1/2,-x,-z'
'-x+1/2,-y+1/2,z'
'x+1/2,y+1/2,-z'
'y,-x+1/2,z'
'-y,x+1/2,-z'
'x+1/2,-y,-z'
'-x+1/2,y,z'
'-y,-x,-z'
'y,x,z'
'-x,y+1/2,-z'
'x,-y+1/2,z'
'y+1/2,x+1/2,-z'
'-y+1/2,-x+1/2,z'
loop_
_atom_site_label
_atom_site_type_symbol
_atom_site_fract_x
_atom_site_fract_y
_atom_site_fract_z
_atom_site_occupancy
Ho1 Ho 0.2500 0.2500 0.0859 1
Pa1 Pa 0.2500 0.2500 0.6151 1
Te1 Te 0.2500 0.2500 0.2973 1
Te2 Te 0.2500 0.2500 0.8777 1
S1 S 0.2500 0.7500 0.5000 1

# CoMoAu3 (PBE, relaxed)
# Energy of formation from the pure elements = 1.65 eV per atom
data_CoMoAu3
_chemical_formula_sum 'Co1 Mo1 Au3'
_space_group_name_H-M_alt 'P m -3 m'
_space_group_IT_number 221
_space_group_name_Hall '-P 4 2 3'
_cell_length_a 5.0088
_cell_length_b 5.0088
_cell_length_c 5.0088
_cell_angle_alpha 90.00
_cell_angle_beta 90.00
_cell_angle_gamma 90.00
loop_
_atom_site_label
_atom_site_type_symbol
_atom_site_fract_x
_atom_site_fract_y
_atom_site_fract_z
_atom_site_occupancy
Co1 Co 0.0000 0.0000 0.0000 1
Mo1 Mo 0.5000 0.5000 0.5000 1
Au1 Au 0.0000 0.5000 0.5000 1

# AcAl7Cu5 (PBE, relaxed)
# Energy of formation from the pure elements = -0.28 eV per atom
data_AcAl7Cu5
_chemical_formula_sum 'Ac2 Al14 Cu10'
_space_group_name_H-M_alt 'I m m 2'
_space_group_IT_number 44
_cell_length_a 5.1473
_cell_length_b 9.0563
_cell_length_c 8.9030
_cell_angle_alpha 90.00
_cell_angle_beta 90.00
_cell_angle_gamma 90.00
loop_
_space_group_symop_operation_xyz
'x,y,z'
'-x,-y,z'
'-x,y,z'
'x,-y,z'
'x+1/2,y+1/2,z+1/2'
'-x+1/2,-y+1/2,z+1/2'
'-x+1/2,y+1/2,z+1/2'
'x+1/2,-y+1/2,z+1/2'
loop_
_atom_site_label
_atom_site_type_symbol
_atom_site_fract_x
_atom_site_fract_y
_atom_site_fract_z
_atom_site_occupancy
Ac1 Ac 0.0000 0.0000 0.0000 1
Al1 Al 0.0000 0.0000 0.3496 1
Al2 Al 0.0000 0.0000 0.6450 1
Al3 Al 0.0000 0.2786 0.5025 1
Al4 Al 0.0000 0.3529 0.9881 1
Al5 Al 0.0000 0.5000 0.2666 1
Cu1 Cu 0.0000 0.5000 0.7302 1
Cu2 Cu 0.2491 0.2523 0.2484 1

# GeBr2F10 (PBE, relaxed)
# Raw total energy = -3.530 eV per atom
data_GeBr2F10
_chemical_formula_sum 'Ge2 Br4 F20'
_space_group_name_H-M_alt 'P 1 21/c 1'
_space_group_IT_number 14
_cell_length_a 5.0616
_cell_length_b 14.4974
_cell_length_c 6.6093
_cell_angle_alpha 90.00
_cell_angle_beta 115.40
_cell_angle_gamma 90.00
loop_
_space_group_symop_operation_xyz
'x,y,z'
'-x,-y,-z'
'-x,y+1/2,-z+1/2'
'x,-y+1/2,z+1/2'
loop_
_atom_site_label
_atom_site_type_symbol
_atom_site_fract_x
_atom_site_fract_y
_atom_site_fract_z
_atom_site_occupancy
Ge1 Ge 0.0000 0.0000 0.0000 1
Br1 Br 0.3239 0.1343 0.6763 1
F1 F 0.0092 0.6720 0.0468 1
F2 F 0.0515 0.0323 0.7426 1
F3 F 0.2596 0.5998 0.5488 1
F4 F 0.2922 0.0717 0.1685 1
F5 F 0.4716 0.7179 0.8960 1

# AsPtC3 (PBE, relaxed)
# Energy of formation from the pure elements = 2.52 eV per atom
data_AsPtC3
_chemical_formula_sum 'As1 Pt1 C3'
_space_group_name_H-M_alt 'P m -3 m'
_space_group_IT_number 221
_space_group_name_Hall '-P 4 2 3'
_cell_length_a 4.0451
_cell_length_b 4.0451
_cell_length_c 4.0451
_cell_angle_alpha 90.00
_cell_angle_beta 90.00
_cell_angle_gamma 90.00
loop_
_atom_site_label
_atom_site_type_symbol
_atom_site_fract_x
_atom_site_fract_y
_atom_site_fract_z
_atom_site_occupancy
As1 As 0.0000 0.0000 0.0000 1
Pt1 Pt 0.5000 0.5000 0.5000 1
C1 C 0.0000 0.5000 0.5000 1

What is the formula in the third record?
ErZn2Co2Ge